Entry 1:
VASP calculation (PBE) on SnHgMoHAu after structural relaxation.

Cell: 3.479 4.078 6.202 Å, 90.00 106.07 90.00°
Fractional coordinates of all 5 atoms:
Mo: 0.827 0.000 0.419
Au: 0.988 0.500 0.739
H: 0.386 0.000 0.538
Sn: 0.243 0.500 0.249
Hg: 0.586 0.000 0.932

Computed properties:
Fermi-level density of states in states/eV/f.u.: 2.6
Energy above the lowest structure with this stoichiometry in meV/atom: 77
Crystal system: monoclinic

Entry 2:
VASP calculation (PBE) on SnHgMoHAu after structural relaxation.

Cell: 4.400 3.168 5.940 Å, 90.00 90.00 90.00°
Fractional coordinates of all 5 atoms:
Au: 0.000 0.000 0.026
Mo: 0.000 0.500 0.582
Sn: 0.500 0.000 0.723
H: 0.000 0.000 0.419
Hg: 0.500 0.500 0.237

Computed properties:
Fermi-level density of states in states/eV/f.u.: 2.6
Energy above the lowest structure with this stoichiometry in meV/atom: 67
Crystal system: orthorhombic

Entry 3:
VASP calculation (PBE) on SnHgMoHAu after structural relaxation.

Cell: 5.861 3.243 10.540 Å, 90.00 121.85 90.00°
Fractional coordinates of all 10 atoms:
Au: 0.169 0.500 0.394
Au: 0.169 0.000 0.894
Sn: 0.684 0.500 0.684
Sn: 0.684 0.000 0.184
Hg: 0.144 0.000 0.622
Hg: 0.144 0.500 0.122
Mo: 0.676 0.000 0.905
Mo: 0.676 0.500 0.405
H: 0.558 0.500 0.931
H: 0.558 0.000 0.431

Computed properties:
Fermi-level density of states in states/eV/f.u.: 2.6
Energy above the lowest structure with this stoichiometry in meV/atom: 9
Crystal system: monoclinic

Entry 4:
VASP calculation (PBE) on SnHgMoHAu after structural relaxation.

Cell: 5.715 3.215 10.544 Å, 90.00 118.22 90.00°
Fractional coordinates of all 10 atoms:
Sn: 0.627 0.000 0.357
Sn: 0.627 0.500 0.857
H: 0.560 0.500 0.126
H: 0.560 0.000 0.626
Au: 0.117 0.000 0.788
Au: 0.117 0.500 0.288
Mo: 0.673 0.000 0.092
Mo: 0.673 0.500 0.592
Hg: 0.146 0.500 0.558
Hg: 0.146 0.000 0.058

Computed properties:
Fermi-level density of states in states/eV/f.u.: 2.2
Energy above the lowest structure with this stoichiometry in meV/atom: 0
Crystal system: monoclinic

Entry 5:
VASP calculation (PBE) on SnHgMoHAu after structural relaxation.

Cell: 4.121 4.935 5.357 Å, 70.81 67.38 65.25°
Fractional coordinates of all 5 atoms:
H: 0.135 0.778 0.931
Sn: 0.784 0.527 0.885
Mo: 0.051 0.600 0.277
Hg: 0.613 0.197 0.555
Au: 0.382 0.021 0.192

Computed properties:
Fermi-level density of states in states/eV/f.u.: 2.2
Energy above the lowest structure with this stoichiometry in meV/atom: 142
Crystal system: monoclinic

Entry 6:
VASP calculation (PBE) on SnHgMoHAu after structural relaxation.

Cell: 3.377 3.955 6.426 Å, 90.00 97.24 90.00°
Fractional coordinates of all 5 atoms:
H: 0.944 0.500 0.562
Au: 0.053 0.500 0.983
Hg: 0.497 0.000 0.766
Sn: 0.875 0.000 0.268
Mo: 0.413 0.500 0.436

Computed properties:
Fermi-level density of states in states/eV/f.u.: 3.1
Energy above the lowest structure with this stoichiometry in meV/atom: 79
Crystal system: monoclinic

Entry 7:
VASP calculation (PBE) on SnHgMoHAu after structural relaxation.

Cell: 5.263 3.152 10.566 Å, 90.00 110.79 90.00°
Fractional coordinates of all 10 atoms:
Sn: 0.341 0.000 0.629
Sn: 0.341 0.500 0.129
H: 0.360 0.000 0.938
H: 0.360 0.500 0.438
Mo: 0.431 0.000 0.371
Mo: 0.431 0.500 0.871
Hg: 0.901 0.000 0.833
Hg: 0.901 0.500 0.333
Au: 0.844 0.500 0.588
Au: 0.844 0.000 0.088

Computed properties:
Fermi-level density of states in states/eV/f.u.: 2.0
Energy above the lowest structure with this stoichiometry in meV/atom: 55
Crystal system: monoclinic

Entry 8:
VASP calculation (PBE) on SnHgMoHAu after structural relaxation.

Cell: 4.930 3.183 10.909 Å, 90.00 90.00 90.00°
Fractional coordinates of all 10 atoms:
Sn: 0.500 0.000 0.430
Sn: 0.500 0.500 0.930
Au: 0.000 0.500 0.789
Au: 0.000 0.000 0.289
H: 0.500 0.500 0.635
H: 0.500 0.000 0.135
Mo: 0.500 0.000 0.716
Mo: 0.500 0.500 0.216
Hg: 0.000 0.000 0.572
Hg: 0.000 0.500 0.072

Computed properties:
Fermi-level density of states in states/eV/f.u.: 2.3
Energy above the lowest structure with this stoichiometry in meV/atom: 28
Crystal system: orthorhombic

Entry 9:
VASP calculation (PBE) on SnHgMoHAu after structural relaxation.

Cell: 4.742 3.033 11.950 Å, 90.00 102.05 90.00°
Fractional coordinates of all 10 atoms:
Au: 0.125 0.500 0.477
Au: 0.125 0.000 0.977
Sn: 0.744 0.000 0.151
Sn: 0.744 0.500 0.651
H: 0.075 0.500 0.304
H: 0.075 0.000 0.804
Hg: 0.580 0.000 0.388
Hg: 0.580 0.500 0.888
Mo: 0.258 0.000 0.687
Mo: 0.258 0.500 0.187

Computed properties:
Fermi-level density of states in states/eV/f.u.: 3.5
Energy above the lowest structure with this stoichiometry in meV/atom: 64
Crystal system: monoclinic

Entry 10:
VASP calculation (PBE) on Na2HgHAu after structural relaxation.

Cell: 4.930 4.930 3.912 Å, 90.00 90.00 90.00°
Fractional coordinates of all 5 atoms:
H: 0.000 0.000 0.000
Au: 0.000 0.000 0.500
Na: 0.500 0.000 0.000
Na: 0.000 0.500 0.000
Hg: 0.500 0.500 0.500

Computed properties:
Fermi-level density of states in states/eV/f.u.: 2.5
Energy above the lowest structure with this stoichiometry in meV/atom: 0
Crystal system: tetragonal

Entry 11:
VASP calculation (PBE) on NaHgHAu2 after structural relaxation.

Cell: 4.211 4.211 4.711 Å, 90.00 90.00 90.00°
Fractional coordinates of all 5 atoms:
Na: 0.000 0.000 0.500
Au: 0.500 0.000 0.000
Au: 0.000 0.500 0.000
Hg: 0.500 0.500 0.500
H: 0.000 0.000 0.000

Computed properties:
Raw total energy in eV/cell: -11.438
Fermi-level density of states in states/eV/f.u.: 1.1
Crystal system: tetragonal

Entry 12:
VASP calculation (PBE) on NaHg2HAu after structural relaxation.

Cell: 5.694 5.694 3.578 Å, 90.00 90.00 90.00°
Fractional coordinates of all 5 atoms:
Na: 0.500 0.500 0.500
Hg: 0.000 0.500 0.000
Hg: 0.500 0.000 0.000
Au: 0.000 0.000 0.000
H: 0.000 0.000 0.500

Computed properties:
Fermi-level density of states in states/eV/f.u.: 1.9
Energy above the lowest structure with this stoichiometry in meV/atom: 0
Crystal system: tetragonal

Entry 13:
VASP calculation (PBE) on Na2HgHAu after structural relaxation.

Cell: 5.735 5.735 3.580 Å, 90.00 90.00 90.00°
Fractional coordinates of all 5 atoms:
Na: 0.000 0.500 0.000
Na: 0.500 0.000 0.000
H: 0.000 0.000 0.500
Hg: 0.500 0.500 0.500
Au: 0.000 0.000 0.000

Computed properties:
Fermi-level density of states in states/eV/f.u.: 2.0
Energy above the lowest structure with this stoichiometry in meV/atom: 94
Crystal system: tetragonal

Entry 14:
VASP calculation (PBE) on Na2HgHAu after structural relaxation.

Cell: 4.580 4.580 4.461 Å, 90.00 90.00 90.00°
Fractional coordinates of all 5 atoms:
Na: 0.000 0.500 0.000
Na: 0.500 0.000 0.000
H: 0.000 0.000 0.000
Hg: 0.000 0.000 0.500
Au: 0.500 0.500 0.500

Computed properties:
Fermi-level density of states in states/eV/f.u.: 1.0
Energy above the lowest structure with this stoichiometry in meV/atom: 69
Crystal system: tetragonal

Entry 15:
VASP calculation (PBE) on NaHg2HAu after structural relaxation.

Cell: 5.525 3.554 5.525 Å, 90.00 90.00 90.00°
Fractional coordinates of all 5 atoms:
Na: 0.500 0.500 0.500
Hg: 0.500 0.000 0.000
Hg: 0.000 0.000 0.500
Au: 0.000 0.500 0.000
H: 0.000 0.000 0.000

Computed properties:
Fermi-level density of states in states/eV/f.u.: 1.4
Energy above the lowest structure with this stoichiometry in meV/atom: 57
Crystal system: tetragonal

Entry 16:
VASP calculation (PBE) on Ni2HgHAu after structural relaxation.

Cell: 4.017 4.017 3.911 Å, 90.00 90.00 90.00°
Fractional coordinates of all 5 atoms:
H: 0.000 0.000 0.000
Ni: 0.500 0.000 0.000
Ni: 0.000 0.500 0.000
Hg: 0.500 0.500 0.500
Au: 0.000 0.000 0.500

Computed properties:
Raw total energy in eV/cell: -17.677
Fermi-level density of states in states/eV/f.u.: 1.0
Crystal system: tetragonal

Entry 17:
VASP calculation (PBE) on NiHgHAu2 after structural relaxation.

Cell: 4.690 4.690 3.294 Å, 90.00 90.00 90.00°
Fractional coordinates of all 5 atoms:
Ni: 0.000 0.000 0.500
Au: 0.000 0.500 0.000
Au: 0.500 0.000 0.000
H: 0.000 0.000 0.000
Hg: 0.500 0.500 0.500

Computed properties:
Raw total energy in eV/cell: -15.087
Fermi-level density of states in states/eV/f.u.: 1.4
Crystal system: tetragonal

Entry 18:
VASP calculation (PBE) on HgP2HAu after structural relaxation.

Cell: 3.840 5.537 3.840 Å, 90.00 90.00 90.00°
Fractional coordinates of all 5 atoms:
Hg: 0.000 0.500 0.000
H: 0.000 0.000 0.000
P: 0.000 0.000 0.500
P: 0.500 0.000 0.000
Au: 0.500 0.500 0.500

Computed properties:
Raw total energy in eV/cell: -14.179
Fermi-level density of states in states/eV/f.u.: 2.4
Crystal system: tetragonal

Entry 19:
VASP calculation (PBE) on HgPHAu2 after structural relaxation.

Cell: 4.998 4.998 3.338 Å, 90.00 90.00 90.00°
Fractional coordinates of all 5 atoms:
Au: 0.500 0.000 0.000
Au: 0.000 0.500 0.000
H: 0.000 0.000 0.500
Hg: 0.500 0.500 0.500
P: 0.000 0.000 0.000

Computed properties:
Raw total energy in eV/cell: -14.962
Fermi-level density of states in states/eV/f.u.: 1.6
Crystal system: tetragonal

Entry 20:
VASP calculation (PBE) on HgHPb2Au after structural relaxation.

Cell: 5.513 5.513 3.653 Å, 90.00 90.00 90.00°
Fractional coordinates of all 5 atoms:
Pb: 0.000 0.500 0.000
Pb: 0.500 0.000 0.000
H: 0.000 0.000 0.000
Au: 0.000 0.000 0.500
Hg: 0.500 0.500 0.500

Computed properties:
Fermi-level density of states in states/eV/f.u.: 2.2
Energy above the lowest structure with this stoichiometry in meV/atom: 9
Crystal system: tetragonal

Entry 21:
VASP calculation (PBE) on HgHPb2Au after structural relaxation.

Cell: 5.830 5.830 3.469 Å, 90.00 90.00 90.00°
Fractional coordinates of all 5 atoms:
Pb: 0.000 0.500 0.000
Pb: 0.500 0.000 0.000
H: 0.000 0.000 0.500
Hg: 0.500 0.500 0.500
Au: 0.000 0.000 0.000

Computed properties:
Fermi-level density of states in states/eV/f.u.: 1.7
Energy above the lowest structure with this stoichiometry in meV/atom: 0
Crystal system: tetragonal

Entry 22:
VASP calculation (PBE) on Hg2HPdAu after structural relaxation.

Cell: 4.913 4.913 3.385 Å, 90.00 90.00 90.00°
Fractional coordinates of all 5 atoms:
Au: 0.500 0.500 0.500
Pd: 0.000 0.000 0.500
H: 0.000 0.000 0.000
Hg: 0.000 0.500 0.000
Hg: 0.500 0.000 0.000

Computed properties:
Raw total energy in eV/cell: -11.844
Fermi-level density of states in states/eV/f.u.: 1.2
Crystal system: tetragonal

Entry 23:
VASP calculation (PBE) on HgHPd2Au after structural relaxation.

Cell: 4.188 4.188 4.090 Å, 90.00 90.00 90.00°
Fractional coordinates of all 5 atoms:
H: 0.000 0.000 0.000
Pd: 0.500 0.000 0.000
Pd: 0.000 0.500 0.000
Au: 0.000 0.000 0.500
Hg: 0.500 0.500 0.500

Computed properties:
Fermi-level density of states in states/eV/f.u.: 0.5
Energy above the lowest structure with this stoichiometry in meV/atom: 0
Crystal system: tetragonal

Entry 24:
VASP calculation (PBE) on HgHPd2Au after structural relaxation.

Cell: 4.063 4.063 4.376 Å, 90.00 90.00 90.00°
Fractional coordinates of all 5 atoms:
Au: 0.500 0.500 0.500
Hg: 0.000 0.000 0.500
Pd: 0.500 0.000 0.000
Pd: 0.000 0.500 0.000
H: 0.000 0.000 0.000

Computed properties:
Fermi-level density of states in states/eV/f.u.: 1.7
Energy above the lowest structure with this stoichiometry in meV/atom: 102
Crystal system: tetragonal

Entry 25:
VASP calculation (PBE) on HgHPdAu2 after structural relaxation.

Cell: 4.521 4.521 3.710 Å, 90.00 90.00 90.00°
Fractional coordinates of all 5 atoms:
Au: 0.500 0.000 0.000
Au: 0.000 0.500 0.000
Hg: 0.500 0.500 0.500
H: 0.000 0.000 0.000
Pd: 0.000 0.000 0.500

Computed properties:
Fermi-level density of states in states/eV/f.u.: 1.3
Energy above the lowest structure with this stoichiometry in meV/atom: 0
Crystal system: tetragonal

Entry 26:
VASP calculation (PBE) on HgHPdAu2 after structural relaxation.

Cell: 3.975 3.975 4.972 Å, 90.00 90.00 90.00°
Fractional coordinates of all 5 atoms:
Hg: 0.000 0.000 0.500
H: 0.000 0.000 0.000
Au: 0.000 0.500 0.000
Au: 0.500 0.000 0.000
Pd: 0.500 0.500 0.500

Computed properties:
Fermi-level density of states in states/eV/f.u.: 1.4
Energy above the lowest structure with this stoichiometry in meV/atom: 116
Crystal system: tetragonal

Entry 27:
VASP calculation (PBE) on HgHPd6Au2 after structural relaxation.

Cell: 6.493 5.635 7.503 Å, 112.60 139.92 77.29°
Fractional coordinates of all 10 atoms:
Pd: 0.895 0.702 0.610
Pd: 0.692 0.094 0.806
Pd: 0.694 0.596 0.807
Pd: 0.287 0.889 0.209
Pd: 0.092 0.295 0.406
Pd: 0.281 0.393 0.198
H: 0.093 0.047 0.954
Au: 0.864 0.192 0.574
Au: 0.109 0.802 0.426
Hg: 0.492 0.495 0.007

Computed properties:
Raw total energy in eV/cell: -41.617
Fermi-level density of states in states/eV/f.u.: 8.6
Crystal system: triclinic